CaLuHgRh | Alexandria | PBE-GGA | relaxed; E_form = -0.51 eV per atom; uncorrected energy = -4.055 eV/atom
1.0
7.074 0.000 0.000
0.000 7.074 0.000
0.000 0.000 7.074
Ca Lu Hg Rh
4 4 4 4
Direct
0.000 0.000 0.000
0.000 0.500 0.500
0.500 0.000 0.500
0.500 0.500 0.000
0.000 0.000 0.500
0.000 0.500 0.000
0.500 0.000 0.000
0.500 0.500 0.500
0.250 0.250 0.750
0.250 0.750 0.250
0.750 0.250 0.250
0.750 0.750 0.750
0.250 0.250 0.250
0.250 0.750 0.750
0.750 0.250 0.750
0.750 0.750 0.250